## Na2Tl4PdPt (GGA-PBE)

Data for a relaxed structure of Na2Tl4PdPt.

Cell: 8.2538 5.8962 5.8962 Å, 42.81 90.00 90.00°
Sites, in units of the cell vectors:
Na: 0.0000 0.4335 0.4335
Na: 0.5000 0.5675 0.5675
Pd: 0.0000 0.7171 0.7171
Pt: 0.5000 0.2830 0.2830
Tl: 0.2038 0.1396 0.1396
Tl: 0.7962 0.1396 0.1396
Tl: 0.2953 0.8599 0.8599
Tl: 0.7047 0.8599 0.8599

## Properties
E_tot (eV per atom): -3.10
Crystal system: orthorhombic
Space group: Amm2